This record from Alexandria via LeMat-Bulk describes a relaxed NaCoOs crystal. The functional is PBE.

DFT formation energy in eV/atom: 1.009
Uncorrected energy in eV/atom: -5.5427
Energy relative to the lowest polymorph listed for this composition in eV/f.u.: 1.727
Space-group type: P6_3mc (186)
Magnetic moment in μB/cell: 0.00

a = 4.287 Å, b = 4.287 Å, c = 5.551 Å
α = 90.00°, β = 90.00°, γ = 120.00°
Sites, in units of the cell vectors:
Co (0.333, 0.667, 0.039)
Co (0.667, 0.333, 0.539)
Os (0.333, 0.667, 0.465)
Os (0.667, 0.333, 0.965)
Na (0.000, 0.000, 0.746)
Na (0.000, 0.000, 0.246)